Record 1
Computed, not measured: crystalline PmVN2 at its relaxed geometry at the GGA-PBE level of DFT.

Geometry as POSCAR:
```
PmVN2
1.0
6.1115 0.0000 0.0000
0.0000 6.2813 0.0000
-1.4277 0.0000 5.2597
Pm V N
4 4 8
Cartesian
0.6150 0.5320 1.6298 Pm
-0.0988 2.6087 4.2597 Pm
4.7826 3.6726 1.0001 Pm
4.0687 5.7493 3.6299 Pm
1.7684 4.1311 1.8677 V
1.0545 5.2908 4.4975 V
3.6293 0.9905 0.7622 V
2.9154 2.1502 3.3921 V
0.0615 4.6872 2.7822 N
0.7753 4.7347 0.1523 N
1.7074 0.7471 3.9095 N
2.4213 2.3936 1.2796 N
2.2625 3.8877 3.9802 N
2.9764 5.5342 1.3503 N
3.9084 1.5466 5.1074 N
4.6223 1.5941 2.4775 N
```

Values from the calculation:
* symmetry: P2_1/c (14)
* E_tot: -0.327 Ha/atom
* formation energy from raw total energies: -1268 meV per atom
* distance to the lowest polymorph of the same formula: 0.000 eV/atom

---

Record 2
Computed, not measured: crystalline SbS2Br at its relaxed geometry at the GGA-PBE level of DFT.

Geometry as POSCAR:
```
SbS2Br
1.0
-3.6892 3.6892 3.9480
3.6892 -3.6892 3.9480
3.6892 3.6892 -3.9480
Sb S Br
2 4 2
Cartesian
0.0000 0.0000 0.0000 Sb
0.0000 3.6892 1.9740 Sb
5.5338 1.4160 -0.9870 S
1.4160 1.8446 0.9870 S
-1.8446 2.2732 2.9610 S
2.2732 1.8446 4.9351 S
3.6892 0.0000 1.9740 Br
0.0000 0.0000 3.9480 Br
```

Values from the calculation:
* symmetry: I-42d (122)
* E_tot: -0.122 Ha/atom
* formation energy from raw total energies: 199 meV per atom
* distance to the lowest polymorph of the same formula: 0.219 eV/atom

---

Record 3
Computed, not measured: crystalline GaNiGePd at its relaxed geometry at the GGA-PBE level of DFT.

Geometry as POSCAR:
```
GaNiGePd
1.0
0.0000 3.0594 3.0594
3.0594 0.0000 3.0594
3.0594 3.0594 0.0000
Ga Ni Ge Pd
1 1 1 1
Cartesian
0.0000 0.0000 0.0000 Ga
1.5297 1.5297 1.5297 Ni
3.0594 3.0594 3.0594 Ge
4.5892 4.5892 4.5892 Pd
```

Values from the calculation:
* symmetry: F-43m (216)
* calculated formation energy: -0.2570 eV/atom
* E_tot: -0.180 Ha/atom

---

- Look up the E_tot of the first one.
  -0.327 Ha/atom

---

- Which value of E_tot does entry 2 give?
  -0.122 Ha/atom

---

- Among the records above, which one has the lowest E_tot?
  PmVN2